1.
## LaGe (PBE)

Data for crystalline LaGe at its relaxed geometry.

a = 8.926 Å, b = 8.926 Å, c = 6.195 Å
α = 90.00°, β = 90.00°, γ = 120.00°
Atoms (fractional coordinates):
La (0.052, 0.703, 0.250)
La (0.297, 0.349, 0.250)
La (0.349, 0.052, 0.750)
La (0.651, 0.948, 0.250)
La (0.703, 0.651, 0.750)
La (0.948, 0.297, 0.750)
Ge (0.051, 0.672, 0.750)
Ge (0.328, 0.379, 0.750)
Ge (0.379, 0.051, 0.250)
Ge (0.621, 0.949, 0.750)
Ge (0.672, 0.621, 0.250)
Ge (0.949, 0.328, 0.250)

## Properties
ΔE_f: -0.314 eV per atom
Electronic total energy: -61.0 eV per cell

2.
## La3Ge (PBE)

Data for crystalline La3Ge at its relaxed geometry.

a = 12.678 Å, b = 12.678 Å, c = 6.266 Å
α = 90.00°, β = 90.00°, γ = 90.00°
Atoms (fractional coordinates):
La (0.027, 0.576, 0.249)
La (0.076, 0.973, 0.749)
La (0.115, 0.215, 0.489)
La (0.133, 0.669, 0.765)
La (0.169, 0.867, 0.265)
La (0.215, 0.385, 0.011)
La (0.285, 0.115, 0.011)
La (0.331, 0.633, 0.265)
La (0.367, 0.831, 0.765)
La (0.385, 0.285, 0.489)
La (0.424, 0.527, 0.749)
La (0.473, 0.924, 0.249)
La (0.527, 0.076, 0.751)
La (0.576, 0.473, 0.251)
La (0.615, 0.715, 0.511)
La (0.633, 0.169, 0.235)
La (0.669, 0.367, 0.735)
La (0.715, 0.885, 0.989)
La (0.785, 0.615, 0.989)
La (0.831, 0.133, 0.735)
La (0.867, 0.331, 0.235)
La (0.885, 0.785, 0.511)
La (0.924, 0.027, 0.251)
La (0.973, 0.424, 0.751)
Ge (0.046, 0.202, 0.979)
Ge (0.202, 0.454, 0.521)
Ge (0.298, 0.046, 0.521)
Ge (0.454, 0.298, 0.979)
Ge (0.546, 0.702, 0.021)
Ge (0.702, 0.954, 0.479)
Ge (0.798, 0.546, 0.479)
Ge (0.954, 0.798, 0.021)

## Properties
ΔE_f: -0.485 eV per atom
Electronic total energy: -170.7 eV per cell

3.
## La7Ge3 (PBE)

Data for crystalline La7Ge3 at its relaxed geometry.

a = 10.713 Å, b = 10.713 Å, c = 6.313 Å
α = 90.00°, β = 90.00°, γ = 120.00°
Atoms (fractional coordinates):
La (0.063, 0.531, 0.000)
La (0.126, 0.252, 0.767)
La (0.126, 0.874, 0.767)
La (0.252, 0.126, 0.267)
La (0.333, 0.667, 0.554)
La (0.469, 0.531, 0.000)
La (0.469, 0.937, 0.000)
La (0.531, 0.063, 0.500)
La (0.531, 0.469, 0.500)
La (0.667, 0.333, 0.054)
La (0.748, 0.874, 0.767)
La (0.874, 0.126, 0.267)
La (0.874, 0.748, 0.267)
La (0.937, 0.469, 0.500)
Ge (0.190, 0.381, 0.290)
Ge (0.190, 0.810, 0.290)
Ge (0.381, 0.190, 0.790)
Ge (0.619, 0.810, 0.290)
Ge (0.810, 0.190, 0.790)
Ge (0.810, 0.619, 0.790)

## Properties
ΔE_f: -0.584 eV per atom
Electronic total energy: -108.4 eV per cell

4.
## LaGe5 (PBE)

Data for crystalline LaGe5 at its relaxed geometry.

a = 4.426 Å, b = 11.603 Å, c = 5.016 Å
α = 90.00°, β = 90.00°, γ = 90.00°
Atoms (fractional coordinates):
La (0.000, 0.000, 0.000)
La (0.500, 0.500, 0.000)
Ge (0.000, 0.179, 0.500)
Ge (0.000, 0.303, 0.000)
Ge (0.000, 0.500, 0.500)
Ge (0.000, 0.697, 0.000)
Ge (0.000, 0.821, 0.500)
Ge (0.500, 0.000, 0.500)
Ge (0.500, 0.197, 0.000)
Ge (0.500, 0.321, 0.500)
Ge (0.500, 0.679, 0.500)
Ge (0.500, 0.803, 0.000)

## Properties
ΔE_f: -0.151 eV per atom
Electronic total energy: -57.8 eV per cell
Excess energy over the best structure of this formula in the dataset: 0.149 eV per atom

5.
## La3Ge (PBE)

Data for crystalline La3Ge at its relaxed geometry.

a = 4.266 Å, b = 12.533 Å, c = 9.687 Å
α = 90.00°, β = 90.00°, γ = 90.00°
Atoms (fractional coordinates):
La (0.000, 0.069, 0.250)
La (0.000, 0.356, 0.052)
La (0.000, 0.356, 0.448)
La (0.000, 0.644, 0.552)
La (0.000, 0.644, 0.948)
La (0.000, 0.931, 0.750)
La (0.500, 0.144, 0.552)
La (0.500, 0.144, 0.948)
La (0.500, 0.431, 0.750)
La (0.500, 0.569, 0.250)
La (0.500, 0.856, 0.052)
La (0.500, 0.856, 0.448)
Ge (0.000, 0.248, 0.750)
Ge (0.000, 0.752, 0.250)
Ge (0.500, 0.252, 0.250)
Ge (0.500, 0.748, 0.750)

## Properties
ΔE_f: -0.465 eV per atom
Electronic total energy: -85.0 eV per cell

6.
## La5Ge (PBE)

Data for crystalline La5Ge at its relaxed geometry.

a = 4.925 Å, b = 15.964 Å, c = 4.875 Å
α = 90.00°, β = 90.00°, γ = 90.00°
Atoms (fractional coordinates):
La (0.000, 0.000, 0.000)
La (0.000, 0.159, 0.500)
La (0.000, 0.350, 0.000)
La (0.000, 0.650, 0.000)
La (0.000, 0.841, 0.500)
La (0.500, 0.150, 0.000)
La (0.500, 0.341, 0.500)
La (0.500, 0.500, 0.000)
La (0.500, 0.659, 0.500)
La (0.500, 0.850, 0.000)
Ge (0.000, 0.500, 0.500)
Ge (0.500, 0.000, 0.500)

## Properties
ΔE_f: -0.214 eV per atom
Electronic total energy: -61.1 eV per cell

7.
## LaGe (PBE)

Data for crystalline LaGe at its relaxed geometry.

a = 4.727 Å, b = 13.337 Å, c = 6.110 Å
α = 90.00°, β = 90.00°, γ = 90.00°
Atoms (fractional coordinates):
La (0.000, 0.000, 0.000)
La (0.000, 0.307, 0.077)
La (0.000, 0.693, 0.077)
La (0.500, 0.193, 0.577)
La (0.500, 0.500, 0.500)
La (0.500, 0.807, 0.577)
Ge (0.000, 0.346, 0.564)
Ge (0.000, 0.500, 0.824)
Ge (0.000, 0.654, 0.564)
Ge (0.500, 0.000, 0.324)
Ge (0.500, 0.154, 0.064)
Ge (0.500, 0.846, 0.064)

## Properties
ΔE_f: -0.624 eV per atom
Electronic total energy: -64.8 eV per cell

8.
## La5Ge6 (PBE)

Data for crystalline La5Ge6 at its relaxed geometry.

a = 15.253 Å, b = 15.253 Å, c = 4.623 Å
α = 90.00°, β = 90.00°, γ = 164.40°
Atoms (fractional coordinates):
La (0.000, 0.000, 0.000)
La (0.198, 0.802, 0.500)
La (0.387, 0.613, 0.000)
La (0.613, 0.387, 0.000)
La (0.802, 0.198, 0.500)
Ge (0.095, 0.905, 0.500)
Ge (0.279, 0.721, 0.000)
Ge (0.458, 0.542, 0.500)
Ge (0.542, 0.458, 0.500)
Ge (0.721, 0.279, 0.000)
Ge (0.905, 0.095, 0.500)

## Properties
ΔE_f: -0.803 eV per atom
Electronic total energy: -61.2 eV per cell